[1]
NaLaLu | Alexandria via LeMat-Bulk | PBE | optimized geometry; DOS at the Fermi energy = 4.5 states/eV/cell; ΔE to the lowest computed polymorph = 0.00 eV per formula unit; M_tot = 0.3 μB/f.u.
1.0
3.570 0.000 0.000
-1.785 3.092 0.000
0.000 0.000 9.292
Na La Lu
1 1 1
Direct
0.000 0.000 0.000
0.333 0.667 0.638
0.667 0.333 0.338

[2]
NaLaLuPb | Alexandria via LeMat-Bulk | PBE | optimized geometry; DOS at the Fermi energy = 3.2 states/eV/cell; raw total energy = -3.761 eV/atom; M_tot = 0.0 μB/f.u.
1.0
0.000 3.896 3.896
3.896 0.000 3.896
3.896 3.896 0.000
Na La Lu Pb
1 1 1 1
Direct
0.000 0.000 0.000
0.250 0.250 0.250
0.750 0.750 0.750
0.500 0.500 0.500

[3]
NaLaPrLu | Alexandria via LeMat-Bulk | PBE | optimized geometry; DOS at the Fermi energy = 4.8 states/eV/cell; raw total energy = -3.651 eV/atom; M_tot = 0.0 μB/f.u.
1.0
0.000 4.080 4.080
4.080 0.000 4.080
4.080 4.080 0.000
Na La Pr Lu
1 1 1 1
Direct
0.000 0.000 0.000
0.250 0.250 0.250
0.750 0.750 0.750
0.500 0.500 0.500

[4]
LaNdLu2 | Alexandria via LeMat-Bulk | PBE | optimized geometry; DOS at the Fermi energy = 5.6 states/eV/cell; ΔE to the lowest computed polymorph = 0.00 eV per formula unit; M_tot = 0.0 μB/f.u.
1.0
3.683 0.000 0.000
0.000 3.683 0.000
0.000 0.000 9.629
La Nd Lu
1 1 2
Direct
0.000 0.000 0.000
0.000 0.000 0.500
0.500 0.500 0.253
0.500 0.500 0.747

[5]
LaNd2Lu | Alexandria via LeMat-Bulk | PBE | optimized geometry; DOS at the Fermi energy = 9.9 states/eV/cell; ΔE to the lowest computed polymorph = 0.61 eV per formula unit; M_tot = 0.1 μB/f.u.
1.0
0.000 4.104 4.104
4.104 0.000 4.104
4.104 4.104 0.000
La Nd Lu
1 2 1
Direct
0.000 0.000 0.000
0.250 0.250 0.250
0.750 0.750 0.750
0.500 0.500 0.500

[6]
LaNdLu2 | Alexandria via LeMat-Bulk | PBE | optimized geometry; DOS at the Fermi energy = 6.4 states/eV/cell; ΔE to the lowest computed polymorph = 0.01 eV per formula unit; M_tot = 0.0 μB/f.u.
1.0
5.190 0.000 0.000
0.000 5.190 0.000
0.000 0.000 4.843
La Nd Lu
1 1 2
Direct
0.000 0.000 0.000
0.500 0.500 0.000
0.000 0.500 0.500
0.500 0.000 0.500

[7]
LaNd2Lu | Alexandria via LeMat-Bulk | PBE | optimized geometry; DOS at the Fermi energy = 7.2 states/eV/cell; ΔE to the lowest computed polymorph = 0.05 eV per formula unit; M_tot = 0.0 μB/f.u.
1.0
3.649 0.000 0.000
0.000 3.649 0.000
0.000 0.000 10.298
La Nd Lu
1 2 1
Direct
0.000 0.000 0.000
0.500 0.500 0.259
0.500 0.500 0.741
0.000 0.000 0.500

[8]
LaNdLu2 | Alexandria via LeMat-Bulk | PBE | optimized geometry; DOS at the Fermi energy = 6.3 states/eV/cell; ΔE to the lowest computed polymorph = 0.16 eV per formula unit; M_tot = 0.0 μB/f.u.
1.0
0.000 4.044 4.044
4.044 0.000 4.044
4.044 4.044 0.000
La Nd Lu
1 1 2
Direct
0.000 0.000 0.000
0.500 0.500 0.500
0.250 0.250 0.250
0.750 0.750 0.750

[9]
LaNd2Lu | Alexandria via LeMat-Bulk | PBE | optimized geometry; DOS at the Fermi energy = 5.7 states/eV/cell; ΔE to the lowest computed polymorph = 0.00 eV per formula unit; M_tot = 0.0 μB/f.u.
1.0
5.130 0.000 0.000
0.000 5.130 0.000
0.000 0.000 5.173
La Nd Lu
1 2 1
Direct
0.000 0.000 0.000
0.000 0.500 0.500
0.500 0.000 0.500
0.500 0.500 0.000

[10]
LaPmNdLu | Alexandria via LeMat-Bulk | PBE | optimized geometry; DOS at the Fermi energy = 8.0 states/eV/cell; raw total energy = -4.632 eV/atom; M_tot = 0.0 μB/f.u.
1.0
0.000 4.093 4.093
4.093 0.000 4.093
4.093 4.093 0.000
La Pm Nd Lu
1 1 1 1
Direct
0.000 0.000 0.000
0.250 0.250 0.250
0.500 0.500 0.500
0.750 0.750 0.750

[11]
LaNdLuPu | Alexandria via LeMat-Bulk | PBE | optimized geometry; DOS at the Fermi energy = 14.0 states/eV/cell; raw total energy = -6.936 eV/atom; M_tot = 7.6 μB/f.u.
1.0
0.000 4.015 4.015
4.015 0.000 4.015
4.015 4.015 0.000
La Nd Lu Pu
1 1 1 1
Direct
0.000 0.000 0.000
0.500 0.500 0.500
0.250 0.250 0.250
0.750 0.750 0.750

[12]
SrLaNdLu | Alexandria via LeMat-Bulk | PBE | optimized geometry; DOS at the Fermi energy = 5.9 states/eV/cell; raw total energy = -3.778 eV/atom; M_tot = 0.0 μB/f.u.
1.0
0.000 4.219 4.219
4.219 0.000 4.219
4.219 4.219 0.000
Sr La Nd Lu
1 1 1 1
Direct
0.000 0.000 0.000
0.250 0.250 0.250
0.750 0.750 0.750
0.500 0.500 0.500